Entry 1:
Entry from the Alexandria database: a relaxed structure of La2Nd6Er3 (PBE).

abc: 5.739 5.739 12.943
angles: 102.81 102.81 90.00
Positions (direct):
La: 0.441 0.441 0.882
La: 0.559 0.559 0.118
Nd: 0.096 0.596 0.193
Nd: 0.596 0.096 0.193
Nd: 0.904 0.404 0.807
Nd: 0.404 0.904 0.807
Nd: 0.702 0.702 0.405
Nd: 0.298 0.298 0.595
Er: 0.000 0.000 0.000
Er: 0.840 0.840 0.680
Er: 0.160 0.160 0.320

Summary:
- crystal system = tetragonal
- total magnetic moment (μB/atom) = 0.000
- ΔE_f (eV per atom) = 0.446
- calculated density (Mg/m³) = 6.7


Entry 2:
Entry from the Alexandria database: a relaxed structure of LaNdEr2 (PBE).

abc: 3.622 3.622 11.826
angles: 81.19 81.19 60.00
Positions (direct):
La: 0.000 0.000 0.000
Nd: 0.500 0.500 0.500
Er: 0.249 0.249 0.252
Er: 0.751 0.751 0.748

Summary:
- crystal system = trigonal
- total magnetic moment (μB/atom) = 0.000
- ΔE_f (eV per atom) = 0.015
- calculated density (Mg/m³) = 7.8


Entry 3:
Entry from the Alexandria database: a relaxed structure of LaNd3Er6 (PBE).

abc: 6.581 9.711 9.590
angles: 139.79 110.07 90.00
Positions (direct):
La: 0.500 0.500 0.000
Nd: 0.569 0.941 0.139
Nd: 0.431 0.059 0.861
Nd: 0.000 0.000 0.000
Er: 0.433 0.561 0.373
Er: 0.061 0.439 0.627
Er: 0.567 0.439 0.627
Er: 0.939 0.561 0.373
Er: 0.136 0.852 0.272
Er: 0.864 0.148 0.728

Summary:
- crystal system = monoclinic
- total magnetic moment (μB/atom) = 0.000
- ΔE_f (eV per atom) = 0.222
- calculated density (Mg/m³) = 7.8